ErTeF, optimized geometry, DFT GGA-PBE; uncorrected formation energy = -1.929 eV per atom; calculated total energy = -15.4 eV for the cell shown; Fermi-level density of states = 0.78 states/eV per cell
1.0
3.537 0.000 0.000
0.000 3.537 0.000
-1.769 -1.769 5.107
F Te Er
1 1 1
Cartesian
0.000 0.000 2.925
0.000 0.000 0.134
1.769 1.769 2.048

***

Er2ThF11, optimized geometry, DFT GGA-PBE; uncorrected formation energy = -3.823 eV per atom; calculated total energy = -181.3 eV for the cell shown
1.0
7.352 0.000 3.832
3.334 7.617 2.572
0.139 0.018 8.702
F Er Th
22 4 2
Cartesian
5.214 5.291 5.938
0.975 1.431 5.269
3.584 4.068 3.924
6.664 7.366 6.984
3.548 2.212 5.950
1.360 0.406 2.571
7.278 5.422 9.157
5.612 2.343 9.169
3.077 2.404 10.205
7.242 3.567 11.183
1.578 1.492 7.940
5.413 3.817 7.554
9.248 6.143 7.167
7.749 5.231 4.902
4.162 0.268 8.123
0.000 0.000 0.000
4.970 1.605 3.222
9.851 6.203 9.838
2.526 4.223 7.911
5.855 6.029 11.885
9.465 7.229 12.536
8.299 3.412 7.196
3.880 6.176 4.335
6.945 1.459 10.772
3.655 2.376 8.115
7.171 5.258 6.992
2.706 1.909 3.777
8.119 5.726 11.330

***

ErTiF6, optimized geometry, DFT GGA-PBE; uncorrected formation energy = -3.637 eV per atom; calculated total energy = -52.8 eV for the cell shown; Fermi-level density of states = 3.84 states/eV per cell
1.0
5.279 -0.105 0.000
1.189 5.185 0.000
0.595 2.593 4.237
Er F Ti
1 6 1
Cartesian
0.000 0.000 0.000
1.776 1.257 0.000
4.692 3.823 0.000
2.775 6.308 2.956
2.180 3.716 1.281
4.288 1.365 1.281
4.882 3.957 2.956
3.234 2.540 0.000

***

ErTl2F11, optimized geometry, DFT GGA-PBE; uncorrected formation energy = -2.138 eV per atom; calculated total energy = -119.6 eV for the cell shown
1.0
-2.117 3.591 7.506
2.416 -3.705 7.364
5.342 5.590 3.743
Tl F Er
4 22 2
Cartesian
1.739 1.476 11.676
2.605 -0.930 8.160
3.036 6.405 10.452
3.902 3.999 6.937
5.027 2.210 7.241
0.886 1.122 13.846
1.821 0.025 6.414
2.371 2.669 6.272
4.702 3.853 16.184
2.658 5.735 6.824
-0.399 1.509 6.046
3.820 5.450 12.199
6.040 3.966 12.567
2.432 3.145 14.915
2.983 -0.260 11.789
5.385 5.264 7.819
0.939 1.622 2.429
2.821 2.738 9.306
3.150 4.412 9.197
4.755 4.353 4.767
3.209 2.331 3.698
0.614 3.265 11.372
2.491 1.063 9.416
3.271 2.806 12.341
0.256 0.211 10.794
5.342 5.590 3.743
1.410 1.369 4.653
4.231 4.106 13.960

***

ErTl2F8, optimized geometry, DFT GGA-PBE; uncorrected formation energy = -2.585 eV per atom; calculated total energy = -52.7 eV for the cell shown; Fermi-level density of states = 1.57 states/eV per cell
1.0
4.619 -0.577 -0.438
-0.707 6.263 0.013
-0.707 1.699 6.028
F Er Tl
8 1 2
Cartesian
2.834 4.199 3.186
2.977 3.763 0.011
0.227 3.622 5.592
3.114 0.637 0.483
0.370 3.186 2.418
0.090 6.748 5.120
0.227 6.361 1.982
2.977 1.024 3.621
0.000 0.000 0.000
0.724 5.045 3.828
2.480 2.341 1.776

***

ErTlF, optimized geometry, DFT GGA-PBE; uncorrected formation energy = -1.769 eV per atom; calculated total energy = -28.2 eV for the cell shown; Fermi-level density of states = 3.90 states/eV per cell
1.0
-0.810 3.012 2.362
-3.640 -1.353 0.477
2.415 -4.282 6.286
F Er Tl
2 2 2
Cartesian
-1.018 -1.311 4.563
1.207 -2.141 3.143
-1.053 -2.036 2.235
1.243 -1.416 5.470
-0.172 1.093 1.787
0.362 -4.545 5.919

***

ErTl3F6, optimized geometry, DFT GGA-PBE; uncorrected formation energy = -2.735 eV per atom; calculated total energy = -100.5 eV for the cell shown; Fermi-level density of states = 0.00 states/eV per cell
1.0
6.544 0.000 0.070
0.000 6.877 0.000
0.021 0.000 9.447
F Tl Er
12 6 2
Cartesian
5.554 5.062 8.874
0.742 0.355 7.422
4.754 1.117 9.069
1.012 1.815 0.643
5.094 4.555 5.206
5.824 6.522 2.094
2.562 3.794 6.783
1.471 2.321 4.311
4.003 3.083 2.734
4.294 1.624 5.401
1.812 5.760 0.448
2.271 5.253 4.116
0.011 0.000 4.724
6.477 3.156 7.120
3.272 3.438 0.035
0.088 3.720 2.397
3.194 0.282 2.362
3.371 6.595 7.155
0.000 0.000 0.000
3.283 3.438 4.758

***

Er2Tl5F12, optimized geometry, DFT GGA-PBE; uncorrected formation energy = -2.740 eV per atom; calculated total energy = -95.5 eV for the cell shown; Fermi-level density of states = 2.53 states/eV per cell
1.0
-4.410 -2.966 3.504
5.043 -5.723 3.229
3.732 1.057 7.319
Tl Er F
5 2 12
Cartesian
3.398 -4.490 8.533
-2.205 -1.483 1.752
1.961 -1.071 2.404
2.404 -6.561 11.648
0.967 -3.142 5.520
4.703 -3.962 4.291
4.073 -0.704 6.257
7.554 -4.846 10.457
2.217 -6.781 8.854
2.148 -0.850 5.199
-0.031 -2.053 8.215
0.771 -6.204 5.712
4.396 -5.579 5.837
-3.189 -2.785 3.596
1.701 -4.112 10.464
2.664 -3.519 3.589
3.594 -1.428 8.341
0.689 -4.654 7.937
3.676 -2.978 6.115

***

ErTl2F8, optimized geometry, DFT GGA-PBE; uncorrected formation energy = -2.531 eV per atom; calculated total energy = -52.1 eV for the cell shown; Fermi-level density of states = 2.91 states/eV per cell
1.0
4.511 0.000 0.000
-0.001 6.111 -3.528
0.000 -0.002 7.056
F Er Tl
8 1 2
Cartesian
1.073 4.073 -0.001
1.138 4.264 3.523
3.373 5.184 -1.932
3.374 5.191 1.927
3.438 2.036 3.529
1.138 0.925 5.460
3.374 1.846 0.005
1.138 0.918 1.601
0.000 -0.002 7.056
3.317 4.074 0.000
1.195 2.036 3.528

***

ErTl4F7, optimized geometry, DFT GGA-PBE; uncorrected formation energy = -2.555 eV per atom; calculated total energy = -57.8 eV for the cell shown; Fermi-level density of states = 0.00 states/eV per cell
1.0
4.107 0.000 -1.341
-0.990 5.854 -3.033
0.966 1.924 9.917
Tl F Er
4 7 1
Cartesian
0.999 6.078 3.060
2.050 3.750 -0.683
3.083 1.700 2.482
2.033 4.028 6.226
4.428 2.537 6.598
1.482 2.214 4.538
0.208 2.061 0.636
3.875 5.717 4.907
2.601 5.564 1.005
-0.345 5.241 -1.056
2.054 0.000 -0.671
0.000 0.000 0.000

***

Er2TlF, optimized geometry, DFT GGA-PBE; uncorrected formation energy = -1.285 eV per atom; calculated total energy = -18.5 eV for the cell shown; Fermi-level density of states = 0.49 states/eV per cell
1.0
4.757 0.000 0.000
2.378 4.119 0.000
2.378 1.373 6.903
Er Tl F
2 1 1
Cartesian
7.135 4.119 2.147
2.378 1.373 4.756
4.757 2.746 3.452
0.000 0.000 0.000